Entry 1:
Below is crystalline SrHoSi4Os2 at its relaxed geometry, with properties calculated at the PBE level.

Calculated values
- Total energy: -6.886 eV per atom
- Crystal system: monoclinic

Unit cell a=4.5247 b=4.0716 c=8.2997 alpha=90.00 beta=101.97 gamma=90.00
With the nearest neighbours (Å) after each atom.
Space group Pm (No. 6)
Inequivalent atoms, fractional coordinates:
1 Sr 0.0000 0.0000 0.0000 (multiplicity 1)  9 Si 3.04-3.29, 2 Os 3.34
2 Ho 0.8282 0.5000 0.5959 (multiplicity 1)  8 Si 2.94-3.27, 2 Os 3.22
3 Si 0.0895 0.5000 0.2998 (multiplicity 1)  4 Os 2.39-2.44, 2 Si 2.55
4 Si 0.3810 0.0000 0.7116 (multiplicity 1)  1 Os 2.35, 2 Si 2.52
5 Si 0.4549 0.5000 0.8939 (multiplicity 1)  1 Os 2.44, 2 Si 2.52
6 Si 0.7577 0.0000 0.3157 (multiplicity 1)  4 Os 2.39-2.45, 2 Si 2.55
7 Os 0.3050 0.0000 0.4233 (multiplicity 1)  5 Si 2.35-2.45
8 Os 0.5440 0.5000 0.1941 (multiplicity 1)  5 Si 2.39-2.44

***

Entry 2:
Below is crystalline ErSc2As3 at its relaxed geometry, with properties calculated at the PBE level.

Calculated values
- Total energy: -6.611 eV per atom
- Crystal system: trigonal

Unit cell a=3.9380 b=3.9380 c=9.6263 alpha=90.00 beta=90.00 gamma=120.00
With the nearest neighbours (Å) after each atom.
Space group P-3m1 (No. 164)
Inequivalent atoms, fractional coordinates:
1 Er 0.0000 0.0000 0.0000 (multiplicity 1)  6 As 2.84
2 Sc 0.3333 0.6667 0.3383 (multiplicity 2)  6 As 2.75-2.76
3 As 0.0000 0.0000 0.5000 (multiplicity 1)  6 Sc 2.76
4 As 0.3333 0.6667 0.8223 (multiplicity 2)  3 Sc 2.75, 3 Er 2.84

***

Q: Among the records above, which one has the lowest total energy?
A: SrHoSi4Os2

***

Q: Which formula does entry 2 have?
A: ErSc2As3

***

Q: Number 2 is which compound?
A: ErSc2As3

***

Q: Which of these has the lowest total energy?
A: SrHoSi4Os2